[1]
Entry from Alexandria via LeMat-Bulk: an optimized crystal structure of La8SiSe4S3 (PBE-GGA).

Geometry as extended XYZ:
```
16
Lattice="8.502 0.000 0.000 0.000 8.593 0.058 -4.251 -4.247 6.014" Properties=species:S:1:pos:R:3 pbc="T T T"
Se 0.000 0.000 0.000
La 4.251 0.113 3.080
S 4.251 4.296 0.029
La 0.000 0.123 3.093
La 4.251 4.222 2.979
S 2.125 2.173 3.036
Se 4.251 0.000 0.000
La -2.123 2.113 5.996
Se 2.125 -2.123 3.007
La 6.374 2.233 0.076
Si 0.000 4.296 0.029
S -2.125 2.173 3.036
La 2.123 2.113 5.996
Se -2.125 -2.123 3.007
La 2.128 2.233 0.076
La 0.000 4.233 2.992
```

[2]
Entry from Alexandria via LeMat-Bulk: an optimized crystal structure of La4SiSeS2 (PBE-GGA).

Geometry as extended XYZ:
```
8
Lattice="-0.160 -0.208 4.270 2.426 -6.932 -0.246 7.419 -0.051 0.276" Properties=species:S:1:pos:R:3 pbc="T T T"
S 3.629 -0.129 2.273
S 7.419 -0.051 0.276
Se 8.552 -3.621 2.289
La 2.355 -1.910 4.282
La 6.051 -1.856 2.280
Si 4.922 -3.492 0.015
La 7.329 -5.281 0.019
La 3.633 -5.335 2.020
```

[3]
Entry from Alexandria via LeMat-Bulk: an optimized crystal structure of LaSmSeS (PBE-GGA).

Geometry as extended XYZ:
```
4
Lattice="4.151 0.000 0.000 2.075 3.594 0.000 2.075 1.198 6.847" Properties=species:S:1:pos:R:3 pbc="T T T"
Se 6.226 3.594 5.069
Sm 4.151 2.396 3.277
La 6.226 3.594 0.138
S 2.075 1.198 1.787
```

[4]
Entry from Alexandria via LeMat-Bulk: an optimized crystal structure of LaSmSeS2 (PBE-GGA).

Geometry as extended XYZ:
```
10
Lattice="-2.120 1.508 5.783 -5.723 -2.285 -1.503 4.767 -5.171 3.096" Properties=species:S:1:pos:R:3 pbc="T T T"
S -2.501 0.179 2.513
Se 0.423 -2.781 2.619
La -2.940 -2.261 1.250
S -4.282 -1.710 -1.124
S -1.441 -0.575 -0.378
Sm -1.191 -0.191 4.828
La -0.137 -3.687 6.126
S -5.342 -0.955 1.767
Sm -1.886 -5.757 2.548
Se -3.500 -3.167 4.758
```

[5]
Entry from Alexandria via LeMat-Bulk: an optimized crystal structure of La4SnSe2S (PBE-GGA).

Geometry as extended XYZ:
```
16
Lattice="8.755 0.002 -0.062 -0.004 8.755 -0.062 -4.378 -4.381 6.253" Properties=species:S:1:pos:R:3 pbc="T T T"
La 2.198 2.250 6.106
La 2.175 2.126 0.022
La 0.062 0.012 3.042
Se 2.189 -2.189 3.095
Sn -0.002 4.378 -0.031
Se 4.378 0.001 -0.031
Se -2.189 -2.190 3.127
La 0.066 4.372 3.109
S 2.187 2.188 3.064
La 2.181 6.636 -0.017
La 2.192 -2.259 6.146
Se 4.376 4.379 -0.062
La 4.308 0.004 3.019
S 4.378 -4.379 6.191
Sn 6.564 2.189 3.033
La 4.312 4.365 3.086
```

[6]
Entry from Alexandria via LeMat-Bulk: an optimized crystal structure of La2Tb2Se2S3 (PBE-GGA).

Geometry as extended XYZ:
```
9
Lattice="-2.190 2.298 4.407 -2.803 -4.548 0.979 8.355 -1.557 1.616" Properties=species:S:1:pos:R:3 pbc="T T T"
Se 4.673 -2.139 3.437
S 0.000 0.000 0.000
Se -1.310 -1.668 3.566
Tb -1.401 -2.274 0.490
S 1.528 -3.615 2.644
S 1.834 -0.192 4.358
La 1.027 -2.738 5.285
Tb -1.095 1.149 2.204
La 2.335 -1.069 1.718
```

Number 1: V 27.59 A^3/atom, formation energy from raw total energies -1922 meV/atom. Number 2: V 27.49 A^3/atom, formation energy from raw total energies -1776 meV/atom. Number 3: V 25.54 A^3/atom, formation energy from raw total energies -2013 meV/atom. Number 4: V 28.15 A^3/atom, formation energy from raw total energies -1700 meV/atom. Number 5: V 29.66 A^3/atom, formation energy from raw total energies -1708 meV/atom. Number 6: V 25.41 A^3/atom, formation energy from raw total energies -1746 meV/atom.